[1]
TbYIn3Si2 | PBE-GGA | optimized geometry

Output
- size of the total moment (μB per cell) = 0.00
- raw total energy (eV per atom) = -4.7492
- space group = Cm, No. 8

Cell: 5.7505 5.7505 7.0001 Å, 99.28 99.28 43.73°
Atoms (fractional coordinates):
Tb 0.0000 0.0000 0.0000
Y 0.7578 0.7578 0.3371
In 0.0739 0.0739 0.5187
In 0.3789 0.3789 0.6686
In 0.6839 0.6839 0.8185
Si 0.2864 0.2864 0.0508
Si 0.4717 0.4717 0.2866

---

[2]
In3SiTc2 | PBE-GGA | optimized geometry

Output
- size of the total moment (μB per cell) = 0.60
- raw total energy (eV per atom) = -5.5899
- space group = P4mm, No. 99

Cell: 3.3345 3.3345 9.5427 Å, 90.00 90.00 90.00°
Atoms (fractional coordinates):
In 0.0000 0.0000 0.0000
In 0.0000 0.0000 0.3172
In 0.5000 0.5000 0.7930
Si 0.5000 0.5000 0.5005
Tc 0.0000 0.0000 0.6113
Tc 0.5000 0.5000 0.1531

---

[3]
InSiTc | PBE-GGA | optimized geometry

Output
- offset from the most stable computed form (meV per atom) = 648.7
- size of the total moment (μB per cell) = 0.00
- raw total energy (eV per atom) = -5.8450
- space group = F-43m, No. 216

Cell: 4.2354 4.2354 4.2354 Å, 60.00 60.00 60.00°
Atoms (fractional coordinates):
In 0.0000 0.0000 0.0000
Si 0.2500 0.2500 0.2500
Tc 0.5000 0.5000 0.5000

---

[4]
InSi2Tc2 | PBE-GGA | optimized geometry

Output
- size of the total moment (μB per cell) = 0.01
- raw total energy (eV per atom) = -7.1247
- space group = I4/mmm, No. 139

Cell: 6.9873 6.9873 6.9873 Å, 151.26 151.26 41.09°
Atoms (fractional coordinates):
In 0.0000 0.0000 0.0000
Si 0.2500 0.7500 0.5000
Si 0.7500 0.2500 0.5000
Tc 0.3843 0.3843 0.0000
Tc 0.6157 0.6157 0.0000

---

[5]
InSiTc | PBE-GGA | optimized geometry

Output
- offset from the most stable computed form (meV per atom) = 0.0
- size of the total moment (μB per cell) = 0.01
- raw total energy (eV per atom) = -6.4937
- space group = C2/m, No. 12

Cell: 10.6457 10.6457 3.1498 Å, 98.47 98.47 17.01°
Atoms (fractional coordinates):
In 0.0701 0.0701 0.0712
In 0.9299 0.9299 0.9288
Si 0.2163 0.2163 0.2164
Si 0.7837 0.7837 0.7836
Tc 0.3374 0.3374 0.3370
Tc 0.6626 0.6626 0.6630

---

[6]
TmInSi | PBE-GGA | optimized geometry

Output
- offset from the most stable computed form (meV per atom) = 156.1
- size of the total moment (μB per cell) = 0.00
- raw total energy (eV per atom) = -4.1709
- space group = F-43m, No. 216

Cell: 4.8264 4.8264 4.8264 Å, 60.00 60.00 60.00°
Atoms (fractional coordinates):
Tm 0.0000 0.0000 0.0000
In 0.7500 0.7500 0.7500
Si 0.2500 0.2500 0.2500

---

[7]
TmInSi | PBE-GGA | optimized geometry

Output
- offset from the most stable computed form (meV per atom) = 0.0
- size of the total moment (μB per cell) = 0.00
- raw total energy (eV per atom) = -4.3270
- space group = F-43m, No. 216

Cell: 4.6809 4.6809 4.6809 Å, 60.00 60.00 60.00°
Atoms (fractional coordinates):
Tm 0.0000 0.0000 0.0000
In 0.5000 0.5000 0.5000
Si 0.7500 0.7500 0.7500

---

[8]
YTmIn3Si2 | PBE-GGA | optimized geometry

Output
- size of the total moment (μB per cell) = 0.00
- raw total energy (eV per atom) = -4.6922
- space group = Cm, No. 8

Cell: 5.7145 5.7145 6.9821 Å, 99.04 99.04 43.77°
Atoms (fractional coordinates):
Y 0.0000 0.0000 0.0000
Tm 0.7581 0.7581 0.3350
In 0.0751 0.0751 0.5172
In 0.3783 0.3783 0.6662
In 0.6838 0.6838 0.8179
Si 0.2860 0.2860 0.0529
Si 0.4726 0.4726 0.2873

---

[9]
InSi5W3 | PBE-GGA | optimized geometry

Output
- size of the total moment (μB per cell) = 0.00
- raw total energy (eV per atom) = -7.3979
- space group = P6/mmm, No. 191

Cell: 5.4313 5.4313 6.3789 Å, 90.00 90.00 120.00°
Atoms (fractional coordinates):
In 0.0000 0.0000 0.0000
Si 0.0000 0.0000 0.5000
Si 0.3333 0.6667 0.1831
Si 0.3333 0.6667 0.8169
Si 0.6667 0.3333 0.1831
Si 0.6667 0.3333 0.8169
W 0.0000 0.5000 0.5000
W 0.5000 0.0000 0.5000
W 0.5000 0.5000 0.5000

---

[10]
ZnInSi | PBE-GGA | optimized geometry

Output
- raw total energy (eV per atom) = -2.7148
- space group = F-43m, No. 216

Cell: 4.5552 4.5552 4.5552 Å, 60.00 60.00 60.00°
Atoms (fractional coordinates):
Zn 0.0000 0.0000 0.0000
In 0.7500 0.7500 0.7500
Si 0.5000 0.5000 0.5000

---

[11]
ZnInSi | PBE-GGA | optimized geometry

Output
- raw total energy (eV per atom) = -2.8805
- space group = F-43m, No. 216

Cell: 4.4980 4.4980 4.4980 Å, 60.00 60.00 60.00°
Atoms (fractional coordinates):
Zn 0.0000 0.0000 0.0000
In 0.5000 0.5000 0.5000
Si 0.7500 0.7500 0.7500

---

[12]
Zr3InSi5 | PBE-GGA | optimized geometry

Output
- size of the total moment (μB per cell) = 0.00
- raw total energy (eV per atom) = -6.0683
- space group = P6/mmm, No. 191

Cell: 5.8503 5.8503 6.6955 Å, 90.00 90.00 120.00°
Atoms (fractional coordinates):
Zr 0.0000 0.5000 0.0000
Zr 0.5000 0.0000 0.0000
Zr 0.5000 0.5000 0.0000
In 0.0000 0.0000 0.5000
Si 0.0000 0.0000 0.0000
Si 0.3333 0.6667 0.3287
Si 0.3333 0.6667 0.6713
Si 0.6667 0.3333 0.3287
Si 0.6667 0.3333 0.6713

---

[13]
ZrIn2Si | PBE-GGA | optimized geometry

Output
- size of the total moment (μB per cell) = 0.00
- raw total energy (eV per atom) = -4.6144
- space group = F-43m, No. 216

Cell: 4.9708 4.9708 4.9708 Å, 60.00 60.00 60.00°
Atoms (fractional coordinates):
Zr 0.0000 0.0000 0.0000
In 0.2500 0.2500 0.2500
In 0.5000 0.5000 0.5000
Si 0.7500 0.7500 0.7500

---

[14]
Sm3In5 | PBE-GGA | optimized geometry

Output
- size of the total moment (μB per cell) = 0.01
- raw total energy (eV per atom) = -3.9884
- space group = Cmcm, No. 63

Cell: 6.4953 6.4953 10.4883 Å, 90.00 90.00 78.24°
Atoms (fractional coordinates):
Sm 0.1259 0.8741 0.7500
Sm 0.2966 0.2966 0.0000
Sm 0.2966 0.2966 0.5000
Sm 0.7034 0.7034 0.0000
Sm 0.7034 0.7034 0.5000
Sm 0.8741 0.1259 0.2500
In 0.0055 0.4246 0.7500
In 0.1912 0.8088 0.0469
In 0.1912 0.8088 0.4531
In 0.4246 0.0055 0.2500
In 0.4895 0.5105 0.2500
In 0.5105 0.4895 0.7500
In 0.5754 0.9945 0.7500
In 0.8088 0.1912 0.5469
In 0.8088 0.1912 0.9531
In 0.9945 0.5754 0.2500

---

[15]
Sm3In5 | PBE-GGA | optimized geometry

Output
- size of the total moment (μB per cell) = 0.02
- raw total energy (eV per atom) = -3.9876
- space group = Cmcm, No. 63

Cell: 6.4899 6.4899 10.4428 Å, 90.00 90.00 78.16°
Atoms (fractional coordinates):
Sm 0.1234 0.8766 0.7500
Sm 0.2952 0.2952 0.0000
Sm 0.2952 0.2952 0.5000
Sm 0.7048 0.7048 0.0000
Sm 0.7048 0.7048 0.5000
Sm 0.8766 0.1234 0.2500
In 0.0027 0.4276 0.7500
In 0.1933 0.8067 0.0469
In 0.1933 0.8067 0.4531
In 0.4276 0.0027 0.2500
In 0.4932 0.5068 0.2500
In 0.5068 0.4932 0.7500
In 0.5724 0.9973 0.7500
In 0.8067 0.1933 0.5469
In 0.8067 0.1933 0.9531
In 0.9973 0.5724 0.2500

---

[16]
SmInSn | PBE-GGA | optimized geometry

Output
- offset from the most stable computed form (meV per atom) = 11.0
- size of the total moment (μB per cell) = 0.00
- raw total energy (eV per atom) = -4.0033
- space group = F-43m, No. 216

Cell: 5.0984 5.0984 5.0984 Å, 60.00 60.00 60.00°
Atoms (fractional coordinates):
Sm 0.0000 0.0000 0.0000
In 0.5000 0.5000 0.5000
Sn 0.7500 0.7500 0.7500

---

[17]
SmInSn | PBE-GGA | optimized geometry

Output
- offset from the most stable computed form (meV per atom) = 0.0
- size of the total moment (μB per cell) = 0.00
- raw total energy (eV per atom) = -4.0143
- space group = F-43m, No. 216

Cell: 5.1682 5.1682 5.1682 Å, 60.00 60.00 60.00°
Atoms (fractional coordinates):
Sm 0.0000 0.0000 0.0000
In 0.7500 0.7500 0.7500
Sn 0.2500 0.2500 0.2500

---

[18]
SmTaIn | PBE-GGA | optimized geometry

Output
- size of the total moment (μB per cell) = 2.70
- raw total energy (eV per atom) = -5.2621
- space group = F-43m, No. 216

Cell: 5.0208 5.0208 5.0208 Å, 60.00 60.00 60.00°
Atoms (fractional coordinates):
Sm 0.0000 0.0000 0.0000
Ta 0.2500 0.2500 0.2500
In 0.7500 0.7500 0.7500

---

[19]
TbSmIn4 | PBE-GGA | optimized geometry

Output
- size of the total moment (μB per cell) = 0.00
- raw total energy (eV per atom) = -3.8385
- space group = Amm2, No. 38

Cell: 4.6686 7.5297 7.5297 Å, 35.79 90.00 90.00°
Atoms (fractional coordinates):
Tb 0.0000 0.0000 0.0000
Sm 0.0000 0.3090 0.3090
In 0.0000 0.6533 0.6533
In 0.5000 0.1532 0.1532
In 0.5000 0.4802 0.4802
In 0.5000 0.8299 0.8299

---

[20]
TbSmIn | PBE-GGA | optimized geometry

Output
- offset from the most stable computed form (meV per atom) = 0.0
- size of the total moment (μB per cell) = 0.27
- raw total energy (eV per atom) = -4.1240
- space group = F-43m, No. 216

Cell: 5.2348 5.2348 5.2348 Å, 60.00 60.00 60.00°
Atoms (fractional coordinates):
Tb 0.0000 0.0000 0.0000
Sm 0.5000 0.5000 0.5000
In 0.7500 0.7500 0.7500